Compound: LiMg2Tl
Source: the Alexandria database
Functional: PBE-GGA
Structure: optimized geometry

a b c (Å): 3.713 3.713 6.387
angles (deg): 90.00 90.00 90.00
Fractional positions:
1 Li 0.000 0.000 0.000
2 Mg 0.000 0.000 0.511
3 Mg 0.500 0.500 0.247
4 Tl 0.500 0.500 0.767

Values from the calculation:
calculated volume = 88.0 Å³ per cell
uncorrected energy = -1.9669 eV per atom
space-group type = P4mm (99)
crystal system = tetragonal
ΔE to the lowest computed polymorph = 31 meV/atom
energy of formation from the pure elements = -0.100 eV/atom

***

Compound: LiMgTl2
Source: the Alexandria database
Functional: PBE-GGA
Structure: optimized geometry

a b c (Å): 6.042 6.042 6.042
angles (deg): 142.17 134.46 60.65
Fractional positions:
1 Li 0.000 0.000 0.000
2 Mg 0.246 0.746 0.500
3 Tl 0.505 0.505 0.000
4 Tl 0.763 0.263 0.500

Values from the calculation:
calculated volume = 95.6 Å³ per cell
uncorrected energy = -2.1615 eV per atom
space-group type = Imm2 (44)
crystal system = orthorhombic
energy of formation from the pure elements = -0.101 eV/atom